GdThGaAg: optimized geometry, GGA-PBE.

Cell and atoms, written as POSCAR:
```
GdThGaAg
1.0
-3.1071 -2.6166 3.2815
-2.4799 -4.2999 -1.6217
1.4514 -4.6845 1.7938
Ag Gd Th Ga
1 1 1 1
Direct
0.2500 0.2500 0.2500 Ag
0.5000 0.5000 0.5000 Gd
0.0000 0.0000 0.0000 Th
0.7500 0.7500 0.7500 Ga
```

Summary:
DFT total energy: -28.7 eV for the cell shown
formation energy from the elements: -0.326 eV per atom

---

ReTcH2: optimized geometry, GGA-PBE.

Cell and atoms, written as POSCAR:
```
ReTcH2
1.0
-4.1423 0.0535 0.1806
-0.0590 -4.1443 -0.1260
-1.9220 -2.1736 4.1627
H Tc Re
4 2 2
Direct
0.3750 0.3781 0.7500 H
0.1281 0.6250 0.2500 H
0.6219 0.1250 0.2500 H
0.8750 0.8719 0.7500 H
0.2500 0.7500 0.5000 Tc
0.5000 0.5000 0.0000 Tc
0.0000 0.0000 0.0000 Re
0.7500 0.2500 0.5000 Re
```

Summary:
DFT total energy: -57.0 eV for the cell shown
excess energy over the best structure of this formula in the dataset: 0.000 eV per atom

---

Tb5Er2In2: optimized geometry, GGA-PBE.

Cell and atoms, written as POSCAR:
```
Tb5Er2In2
1.0
-8.7485 -2.4194 5.2210
-1.8421 -3.9183 -4.9024
9.0442 -2.9217 3.3000
In Tb Er
4 10 4
Direct
0.8837 0.3663 0.8232 In
0.5605 0.0432 0.1768 In
0.1163 0.5432 0.1768 In
0.4395 0.8663 0.8232 In
0.5427 0.1865 0.6985 Tb
0.2016 0.1403 0.8897 Tb
0.3442 0.9880 0.3015 Tb
0.7984 0.2506 0.1103 Tb
0.1881 0.6403 0.8897 Tb
0.8622 0.4358 0.5000 Tb
0.1378 0.9358 0.5000 Tb
0.4573 0.4880 0.3015 Tb
0.6558 0.6865 0.6985 Tb
0.8119 0.7506 0.1103 Tb
0.2325 0.4293 0.5000 Er
0.0000 0.9959 0.0000 Er
0.5000 0.4959 0.0000 Er
0.7675 0.9293 0.5000 Er
```

Summary:
DFT total energy: -76.2 eV for the cell shown
formation energy from the elements: -0.036 eV per atom

---

HoLuHf: optimized geometry, GGA-PBE.

Cell and atoms, written as POSCAR:
```
HoLuHf
1.0
-3.1351 0.7737 0.8668
-0.7986 -3.2467 0.0098
3.8038 0.8059 6.5897
Lu Hf Ho
1 1 1
Direct
0.0118 0.0118 0.0237 Lu
0.6654 0.6654 0.3308 Hf
0.3228 0.3228 0.6455 Ho
```

Summary:
DFT total energy: -18.7 eV for the cell shown
formation energy from the elements: 0.102 eV per atom
excess energy over the best structure of this formula in the dataset: 0.000 eV per atom

---

Ac5Pm6Ho2: optimized geometry, GGA-PBE.

Cell and atoms, written as POSCAR:
```
Ac5Pm6Ho2
1.0
3.8034 0.0000 0.0000
0.0000 11.9788 0.0000
0.0000 0.0000 21.9195
Pm Ac Ho
12 10 4
Direct
0.5000 0.4169 0.1531 Pm
0.0000 0.2745 0.5570 Pm
0.0000 0.8375 0.6192 Pm
0.0000 0.7255 0.4430 Pm
0.0000 0.1625 0.3808 Pm
0.5000 0.0831 0.6531 Pm
0.0000 0.3375 0.8808 Pm
0.5000 0.9169 0.3469 Pm
0.0000 0.7745 0.9430 Pm
0.5000 0.5831 0.8469 Pm
0.0000 0.6625 0.1192 Pm
0.0000 0.2255 0.0570 Pm
0.5000 0.4329 0.4242 Ac
0.5000 0.5671 0.5758 Ac
0.5000 0.6450 0.2770 Ac
0.5000 0.3550 0.7230 Ac
0.5000 0.9329 0.0758 Ac
0.5000 0.0671 0.9242 Ac
0.5000 0.0000 0.5000 Ac
0.5000 0.5000 0.0000 Ac
0.5000 0.1450 0.2230 Ac
0.5000 0.8550 0.7770 Ac
0.0000 0.3832 0.2834 Ho
0.0000 0.6168 0.7166 Ho
0.0000 0.1168 0.7834 Ho
0.0000 0.8832 0.2166 Ho
```

Summary:
DFT total energy: -114.4 eV for the cell shown
formation energy from the elements: 0.078 eV per atom

---

Ga2GePb2: optimized geometry, GGA-PBE.

Cell and atoms, written as POSCAR:
```
Ga2GePb2
1.0
-6.9618 0.8538 -5.0942
-3.1535 -7.4736 3.0571
-1.6208 1.7070 2.5011
Pb Ge Ga
4 2 4
Direct
0.8130 0.6870 0.0000 Pb
0.3130 0.8130 0.0000 Pb
0.6870 0.1870 0.0000 Pb
0.1870 0.3130 0.0000 Pb
0.5000 0.5000 0.0000 Ge
0.0000 0.0000 0.0000 Ge
0.8881 0.3881 0.5000 Ga
0.1119 0.6119 0.5000 Ga
0.6119 0.8881 0.5000 Ga
0.3881 0.1119 0.5000 Ga
```

Summary:
DFT total energy: -33.7 eV for the cell shown
formation energy from the elements: 0.248 eV per atom
excess energy over the best structure of this formula in the dataset: 0.147 eV per atom

---

La4Sm8Er: optimized geometry, GGA-PBE.

Cell and atoms, written as POSCAR:
```
La4Sm8Er
1.0
-6.7951 -2.3815 -3.1970
2.7790 -7.3616 -0.3868
-2.8630 -1.4431 7.1963
Sm La Er
8 4 1
Direct
0.7616 0.7616 0.2395 Sm
0.2384 0.2384 0.7605 Sm
0.7614 0.7614 0.7614 Sm
0.2395 0.7616 0.7616 Sm
0.7605 0.2384 0.2384 Sm
0.2386 0.2386 0.2386 Sm
0.2384 0.7605 0.2384 Sm
0.7616 0.2395 0.7616 Sm
0.5000 0.0000 0.5000 La
0.5000 0.5000 0.0000 La
0.0000 0.5000 0.5000 La
0.0000 0.0000 0.0000 La
0.5000 0.5000 0.5000 Er
```

Summary:
DFT total energy: -55.5 eV for the cell shown
formation energy from the elements: 0.503 eV per atom

---

AgHg2H6Ir: optimized geometry, GGA-PBE.

Cell and atoms, written as POSCAR:
```
AgHg2H6Ir
1.0
-2.5253 5.0803 -0.2813
-1.3659 -0.9244 -4.4334
-2.7906 -1.1861 3.6305
Hg H Ag Ir
2 6 1 1
Direct
0.2988 0.3333 0.6667 Hg
0.7012 0.6667 0.3333 Hg
0.1429 0.8211 0.6422 H
0.8571 0.6422 0.8211 H
0.8571 0.1789 0.3578 H
0.8571 0.1789 0.8211 H
0.1429 0.3578 0.1789 H
0.1429 0.8211 0.1789 H
0.5000 0.0000 0.0000 Ag
0.0000 0.0000 0.0000 Ir
```

Summary:
DFT total energy: -29.9 eV for the cell shown

---

Al2ZnIr: optimized geometry, GGA-PBE.

Cell and atoms, written as POSCAR:
```
Al2ZnIr
1.0
-2.2609 -0.4221 1.6321
0.6462 -1.9726 -1.9092
5.0607 -4.1010 5.9501
Ir Zn Al
1 1 2
Direct
0.0000 0.0000 0.4931 Ir
0.5000 0.5000 0.7418 Zn
0.5000 0.5000 0.2651 Al
0.0000 0.0000 0.0000 Al
```

Summary:
DFT total energy: -18.0 eV for the cell shown
formation energy from the elements: -0.085 eV per atom

---

DyThHgPt: optimized geometry, GGA-PBE.

Cell and atoms, written as POSCAR:
```
DyThHgPt
1.0
-1.3151 -0.0359 5.0229
-4.5878 -1.9378 1.4687
-0.2099 -4.4915 2.5967
Hg Pt Th Dy
1 1 1 1
Direct
0.2500 0.2500 0.2500 Hg
0.7500 0.7500 0.7500 Pt
0.5000 0.5000 0.5000 Th
0.0000 0.0000 0.0000 Dy
```

Summary:
DFT total energy: -21.0 eV for the cell shown
formation energy from the elements: -0.662 eV per atom

---

MgBeS2: optimized geometry, GGA-PBE.

Cell and atoms, written as POSCAR:
```
MgBeS2
1.0
3.7198 0.0000 0.0000
-1.8599 3.2214 0.0000
0.0000 0.0000 6.2264
S Be Mg
2 1 1
Direct
0.0000 0.0000 0.2557 S
0.6667 0.3333 0.6967 S
0.0000 0.0000 0.5914 Be
0.6667 0.3333 0.0917 Mg
```

Summary:
DFT total energy: -18.1 eV for the cell shown
excess energy over the best structure of this formula in the dataset: 0.058 eV per atom

---

HoGa3CoAu: optimized geometry, GGA-PBE.

Cell and atoms, written as POSCAR:
```
HoGa3CoAu
1.0
5.7541 0.0000 0.0000
0.0000 6.0671 0.0000
0.0000 -3.0335 6.1800
Ga Co Ho Au
6 2 2 2
Direct
0.2500 0.1343 0.2687 Ga
0.7500 0.8657 0.7313 Ga
0.5000 0.2915 0.0000 Ga
0.0000 0.2915 0.0000 Ga
0.0000 0.7085 0.0000 Ga
0.5000 0.7085 0.0000 Ga
0.7500 0.0617 0.1234 Co
0.2500 0.9383 0.8766 Co
0.7500 0.2680 0.5360 Ho
0.2500 0.7320 0.4640 Ho
0.7500 0.6602 0.3204 Au
0.2500 0.3398 0.6796 Au
```

Summary:
DFT total energy: -51.8 eV for the cell shown
formation energy from the elements: -0.312 eV per atom

---

> What is the formula in the second record?

ReTcH2

---

Copy entry 10 word for word.
DyThHgPt: optimized geometry, GGA-PBE.

Cell and atoms, written as POSCAR:
```
DyThHgPt
1.0
-1.3151 -0.0359 5.0229
-4.5878 -1.9378 1.4687
-0.2099 -4.4915 2.5967
Hg Pt Th Dy
1 1 1 1
Direct
0.2500 0.2500 0.2500 Hg
0.7500 0.7500 0.7500 Pt
0.5000 0.5000 0.5000 Th
0.0000 0.0000 0.0000 Dy
```

Summary:
DFT total energy: -21.0 eV for the cell shown
formation energy from the elements: -0.662 eV per atom

---

> DFT total energy of number 10 (DyThHgPt)?

-21.0 eV for the cell shown